Computed, not measured: crystalline Na3SiPt at its relaxed geometry at the PBE level of DFT.

POSCAR file:
```
Na3SiPt
1.0
5.346 0.000 0.000
0.000 5.346 0.000
0.000 0.000 5.346
Na Si Pt
3 1 1
Direct
0.000 0.000 0.500 Na
0.000 0.500 0.000 Na
0.500 0.000 0.000 Na
0.500 0.500 0.500 Si
0.000 0.000 0.000 Pt
```

Results
**Uncorrected formation energy**: 2.99 eV per formula unit
**Offset from the most stable computed form**: 0.000 eV per atom
**Spin magnetization**: 0.000 μB/atom
**Calculated total energy**: -2.49 eV per atom
**Space-group type**: Pm-3m

Computed, not measured: crystalline SmSi2Pt2 at its relaxed geometry at the PBE level of DFT.

POSCAR file:
```
SmSi2Pt2
1.0
4.257 0.000 0.000
0.000 4.257 0.000
0.000 0.000 9.810
Sm Si Pt
2 4 4
Direct
0.250 0.250 0.245 Sm
0.750 0.750 0.755 Sm
0.250 0.250 0.632 Si
0.250 0.750 0.000 Si
0.750 0.250 0.000 Si
0.750 0.750 0.368 Si
0.250 0.250 0.878 Pt
0.250 0.750 0.500 Pt
0.750 0.250 0.500 Pt
0.750 0.750 0.122 Pt
```

Results
**Uncorrected formation energy**: -5.57 eV per formula unit
**Spin magnetization**: 0.000 μB/atom
**Calculated total energy**: -6.64 eV per atom
**Space-group type**: P4/nmm

Computed, not measured: crystalline AcLaTmPu at its relaxed geometry at the PBE level of DFT.

POSCAR file:
```
AcLaTmPu
1.0
8.240 0.000 0.000
0.000 8.240 0.000
0.000 0.000 8.240
Ac La Tm Pu
4 4 4 4
Direct
0.000 0.000 0.000 Ac
0.000 0.500 0.500 Ac
0.500 0.000 0.500 Ac
0.500 0.500 0.000 Ac
0.250 0.250 0.750 La
0.250 0.750 0.250 La
0.750 0.250 0.250 La
0.750 0.750 0.750 La
0.250 0.250 0.250 Tm
0.250 0.750 0.750 Tm
0.750 0.250 0.750 Tm
0.750 0.750 0.250 Tm
0.000 0.000 0.500 Pu
0.000 0.500 0.000 Pu
0.500 0.000 0.000 Pu
0.500 0.500 0.500 Pu
```

Results
**Spin magnetization**: 1.876 μB/atom
**Calculated total energy**: -6.69 eV per atom
**Space-group type**: F-43m
**Formation energy**: 1.1 eV/f.u.